Record 1
Computed, not measured: TbHf2Zn after structural relaxation at the PBE level of DFT.

It has space group P4/mmm (No. 123), with a = 3.253 Å, b = 3.253 Å, c = 8.336 Å, α = 90.00°, β = 90.00° and γ = 90.00°. The asymmetric unit holds Tb at (0.000, 0.000, 0.000), Hf at (0.500, 0.500, 0.286) and Zn at (0.000, 0.000, 0.500).

For the density of states at the Fermi level, the calculation gives 3.64 states/eV/cell. The calculation puts the distance to the lowest polymorph of the same formula at 0.0 meV/atom. For the energy of formation from the pure elements, the calculation gives 0.0193 eV per atom.

***

Record 2
Computed, not measured: Dy3Th5P8 after structural relaxation at the PBE level of DFT.

It has space group R-3m (No. 166, hexagonal axes), with a = 8.2010 Å, b = 8.2010 Å, c = 20.0003 Å, α = 90.00°, β = 90.00° and γ = 120.00°. The asymmetric unit holds Dy at (0.0000, 0.5000, 0.0000), Th at (0.0000, 0.0000, 0.0000), Th at (0.0000, 0.0000, 0.5000), Th at (0.0000, 0.5000, 0.5000), P at (0.0000, 0.0000, 0.2521) and P at (0.0034, 0.5017, 0.2517).

For the density of states at the Fermi level, the calculation gives 23.36 states/eV/cell. For the energy of formation from the pure elements, the calculation gives -1.5734 eV per atom.

***

Record 3
Computed, not measured: Ho3Al2Si3 after structural relaxation at the PBE level of DFT.

It has space group Cmcm (No. 63), with a = 4.121 Å, b = 10.920 Å, c = 14.135 Å, α = 90.00°, β = 90.00° and γ = 90.00°. The asymmetric unit holds Ho at (0.000, 0.063, 0.116), Ho at (0.000, 0.356, 0.250), Al at (0.000, 0.222, 0.598), Si at (0.000, 0.357, 0.750) and Si at (0.000, 0.392, 0.038).

For the density of states at the Fermi level, the calculation gives 18.67 states/eV/cell. Its uncorrected formation energy is -60.3 kJ per mole of atoms.

***

Record 4
Computed, not measured: NaLaTmTl after structural relaxation at the PBE level of DFT.

It has space group F-43m (No. 216), with a = 7.807 Å, b = 7.807 Å, c = 7.807 Å, α = 90.00°, β = 90.00° and γ = 90.00°. The asymmetric unit holds Na at (0.000, 0.000, 0.000), La at (0.250, 0.250, 0.750), Tm at (0.250, 0.250, 0.250) and Tl at (0.000, 0.000, 0.500).

For the density of states at the Fermi level, the calculation gives 17.96 states/eV/cell. For the energy of formation from the pure elements, the calculation gives -0.0675 eV per atom.

***

Record 5
Computed, not measured: ZrSc2Cu9 after structural relaxation at the PBE level of DFT.

It has space group R-3m (No. 166, hexagonal axes), with a = 4.9888 Å, b = 4.9888 Å, c = 24.3355 Å, α = 90.00°, β = 90.00° and γ = 120.00°. The asymmetric unit holds Zr at (0.0000, 0.0000, 0.0000), Sc at (0.0000, 0.0000, 0.1405), Cu at (0.0000, 0.0000, 0.3332), Cu at (0.0000, 0.0000, 0.5000) and Cu at (0.0027, 0.5013, 0.9164).

For the density of states at the Fermi level, the calculation gives 30.96 states/eV/cell. For the energy of formation from the pure elements, the calculation gives -0.1541 eV per atom.

***

Record 6
Computed, not measured: BaMo2Se after structural relaxation at the PBE level of DFT.

It has space group R3m (No. 160, hexagonal axes), with a = 4.3761 Å, b = 4.3761 Å, c = 17.9870 Å, α = 90.00°, β = 90.00° and γ = 120.00°. The asymmetric unit holds Ba at (0.0000, 0.0000, 0.0000), Mo at (0.0000, 0.0000, 0.4994), Mo at (0.0000, 0.0000, 0.7986) and Se at (0.0000, 0.0000, 0.2012).

For the density of states at the Fermi level, the calculation gives 7.88 states/eV/cell. Its uncorrected formation energy is 6.9 kJ per mole of atoms.

***

Record 7
Computed, not measured: TlIn12Bi4 after structural relaxation at the PBE level of DFT.

It has space group Im-3 (No. 204), with a = 10.553 Å, b = 10.553 Å, c = 10.553 Å, α = 90.00°, β = 90.00° and γ = 90.00°. The asymmetric unit holds Tl at (0.000, 0.000, 0.000), In at (0.000, 0.141, 0.357) and Bi at (0.250, 0.250, 0.250).

For the density of states at the Fermi level, the calculation gives 22.19 states/eV/cell. For the energy of formation from the pure elements, the calculation gives 0.1220 eV per atom.

***

Record 8
Computed, not measured: Nd2TcH8 after structural relaxation at the PBE level of DFT.

It has space group C2/m (No. 12), with a = 14.143 Å, b = 3.579 Å, c = 4.433 Å, α = 90.00°, β = 108.26° and γ = 90.00°. The asymmetric unit holds Nd at (0.144, 0.000, 0.145), Tc at (0.000, 0.500, 0.500), H at (0.000, 0.000, 0.302), H at (0.108, 0.500, 0.827), H at (0.109, 0.500, 0.394) and H at (0.239, 0.000, 0.740).

For the density of states at the Fermi level, the calculation gives 4.38 states/eV/cell. The calculation puts the total energy at -4.606 eV/atom.

***

Record 9
Computed, not measured: K2NiSe after structural relaxation at the PBE level of DFT.

It has space group Cmmm (No. 65), with a = 5.553 Å, b = 8.651 Å, c = 4.390 Å, α = 90.00°, β = 90.00° and γ = 90.00°. The asymmetric unit holds K at (0.250, 0.250, 0.000), Ni at (0.000, 0.000, 0.500) and Se at (0.000, 0.500, 0.500).

For the density of states at the Fermi level, the calculation gives 12.96 states/eV/cell. Its uncorrected formation energy is 0.1 kJ per mole of atoms.

***

Record 10
Computed, not measured: LaHo2ScSe4 after structural relaxation at the PBE level of DFT.

It has space group P2/m (No. 10), with a = 7.082 Å, b = 4.038 Å, c = 7.142 Å, α = 90.00°, β = 108.84° and γ = 90.00°. The asymmetric unit holds La at (0.000, 0.000, 0.000), Ho at (0.500, 0.000, 0.500), Ho at (0.500, 0.500, 0.000), Sc at (0.000, 0.500, 0.500), Se at (0.248, 0.000, 0.736) and Se at (0.259, 0.500, 0.267).

For the density of states at the Fermi level, the calculation gives 5.24 states/eV/cell. Its uncorrected formation energy is -166.5 kJ per mole of atoms.

***

Record 11
Computed, not measured: Na3LiOs after structural relaxation at the PBE level of DFT.

It has space group Pm-3m (No. 221), with a = 5.587 Å, b = 5.587 Å, c = 5.587 Å, α = 90.00°, β = 90.00° and γ = 90.00°. The asymmetric unit holds Na at (0.000, 0.000, 0.500), Li at (0.500, 0.500, 0.500) and Os at (0.000, 0.000, 0.000).

For the density of states at the Fermi level, the calculation gives 9.68 states/eV/cell. The calculation puts the distance to the lowest polymorph of the same formula at 0.0 meV/atom. For the energy of formation from the pure elements, the calculation gives 1.2151 eV per atom.

***

Record 12
Computed, not measured: Ho2SnSe after structural relaxation at the PBE level of DFT.

It has space group R-3m (No. 166, hexagonal axes), with a = 4.1966 Å, b = 4.1966 Å, c = 21.0778 Å, α = 90.00°, β = 90.00° and γ = 120.00°. The asymmetric unit holds Ho at (0.0000, 0.0000, 0.2473), Sn at (0.0000, 0.0000, 0.0000) and Se at (0.0000, 0.0000, 0.5000).

For the density of states at the Fermi level, the calculation gives 5.21 states/eV/cell. The calculation puts the distance to the lowest polymorph of the same formula at 33.1 meV/atom. Its uncorrected formation energy is -115.4 kJ per mole of atoms.